Entry 1:
This record from Alexandria describes a geometry-optimized Mg2BePt3 structure. The functional is GGA-PBE.

Results
The value obtained for the calculated formation energy is -4.60 eV per formula unit. As for the volume: 15.4 A^3/atom. Its crystal system is trigonal.

a = 4.7950 Å, b = 4.7950 Å, c = 4.7950 Å
α = 68.98°, β = 68.98°, γ = 68.98°
With the nearest neighbours (Å) after each atom.
Element x y z (fractional)
Mg 0.1259 0.1259 0.1259  1 Mg 2.74, 9 Pt 2.75-3.04
Mg 0.8741 0.8741 0.8741  1 Mg 2.74, 9 Pt 2.75-3.04
Be 0.5000 0.5000 0.5000  6 Pt 2.40
Pt 0.0000 0.5000 0.5000  2 Be 2.40
Pt 0.5000 0.0000 0.5000  2 Be 2.40
Pt 0.5000 0.5000 0.0000  2 Be 2.40

---

Entry 2:
This record from Alexandria describes a geometry-optimized Mg2Be2Pt structure. The functional is GGA-PBE.

Results
The value obtained for the calculated formation energy is -1.15 eV per formula unit. As for the volume: 14.4 A^3/atom. Its crystal system is tetragonal.

a = 5.9961 Å, b = 5.9961 Å, c = 4.0148 Å
α = 90.00°, β = 90.00°, γ = 90.00°
With the nearest neighbours (Å) after each atom.
Element x y z (fractional)
Mg 0.1776 0.3224 0.0000  6 Be 2.58-2.75
Mg 0.3224 0.8224 0.0000  6 Be 2.58-2.75
Mg 0.6776 0.1776 0.0000  6 Be 2.58-2.75
Mg 0.8224 0.6776 0.0000  6 Be 2.58-2.75
Be 0.1312 0.6312 0.5000  1 Be 2.23, 2 Pt 2.35
Be 0.3688 0.1312 0.5000  1 Be 2.23, 2 Pt 2.35
Be 0.6312 0.8688 0.5000  1 Be 2.23, 2 Pt 2.35
Be 0.8688 0.3688 0.5000  1 Be 2.23, 2 Pt 2.35
Pt 0.0000 0.0000 0.5000  4 Be 2.35
Pt 0.5000 0.5000 0.5000  4 Be 2.35

---

Entry 3:
This record from Alexandria describes a geometry-optimized Mg2BePt structure. The functional is GGA-PBE.

Results
The value obtained for the calculated formation energy is -1.24 eV per formula unit. As for the volume: 15.2 A^3/atom. Its crystal system is tetragonal.

a = 4.0104 Å, b = 4.0104 Å, c = 3.7881 Å
α = 90.00°, β = 90.00°, γ = 90.00°
With the nearest neighbours (Å) after each atom.
Element x y z (fractional)
Mg 0.0000 0.5000 0.0000  4 Be 2.76, 4 Pt 2.76, 4 Mg 2.84
Mg 0.5000 0.0000 0.0000  4 Be 2.76, 4 Pt 2.76, 4 Mg 2.84
Be 0.0000 0.0000 0.5000  8 Mg 2.76, 4 Pt 2.84
Pt 0.5000 0.5000 0.5000  8 Mg 2.76, 4 Be 2.84

---

Entry 4:
This record from Alexandria describes a geometry-optimized Mg2BePt structure. The functional is GGA-PBE.

Results
The value obtained for the calculated formation energy is -1.12 eV per formula unit. As for the volume: 15.4 A^3/atom. Its crystal system is tetragonal.

a = 3.1590 Å, b = 3.1590 Å, c = 6.1712 Å
α = 90.00°, β = 90.00°, γ = 90.00°
With the nearest neighbours (Å) after each atom.
Element x y z (fractional)
Mg 0.0000 0.0000 0.2478  4 Be 2.71, 4 Pt 2.72
Mg 0.0000 0.0000 0.7522  4 Be 2.71, 4 Pt 2.72
Be 0.5000 0.5000 0.0000  8 Mg 2.71
Pt 0.5000 0.5000 0.5000  8 Mg 2.72

---

Entry 5:
This record from Alexandria describes a geometry-optimized Mg2BePt structure. The functional is GGA-PBE.

Results
The value obtained for the calculated formation energy is -1.65 eV per formula unit. As for the volume: 17.1 A^3/atom. Its crystal system is orthorhombic.

a = 3.7710 Å, b = 5.1842 Å, c = 5.1842 Å
α = 42.44°, β = 90.00°, γ = 90.00°
With the nearest neighbours (Å) after each atom.
Element x y z (fractional)
Mg 0.0000 0.0000 0.0000  3 Be 2.75-2.83, 4 Pt 2.80
Mg 0.5000 0.3016 0.3016  3 Pt 2.77-2.80, 4 Be 2.81
Be 0.0000 0.7077 0.7077  2 Pt 2.20
Pt 0.5000 0.5909 0.5909  2 Be 2.20

---

Entry 6:
This record from Alexandria describes a geometry-optimized Mg2BePt structure. The functional is GGA-PBE.

Results
The value obtained for the calculated formation energy is -1.72 eV per formula unit. As for the volume: 15.7 A^3/atom. Its crystal system is monoclinic.

a = 5.0212 Å, b = 5.0212 Å, c = 4.3356 Å
α = 115.51°, β = 115.51°, γ = 40.15°
With the nearest neighbours (Å) after each atom.
Element x y z (fractional)
Mg 0.0000 0.0000 0.0000  4 Pt 2.81, 4 Mg 2.84-2.92, 4 Be 2.84-2.91
Mg 0.2189 0.2189 0.7185  4 Be 2.79-2.81, 4 Mg 2.84-2.92, 4 Pt 2.87-2.88
Be 0.7697 0.7697 0.2724  2 Pt 2.26
Pt 0.4435 0.4435 0.4427  2 Be 2.26

---

no.,total magnetic moment (Bohr magnetons per cell)
1,0.00
2,0.00
3,0.00
4,0.00
5,0.00
6,0.00